Entry from Alexandria via LeMat-Bulk: an optimized crystal structure of BaLiVN2 (GGA-PBE).

Properties
Volume in Å³/cell: 153.2
Space group: Cmme (67)
Formation energy without anion corrections in eV/atom: -0.6805

Cell: 5.1208 6.3706 5.1293 Å, 90.00 90.00 113.70°
Site moments in Bohr magnetons follow the coordinates.
Positions (direct):
N  0.4059  0.8118  0.8141  -0.01
Li  0.5000  0.0000  0.5000  0.00
V  0.2500  0.0000  0.0000  0.55
N  0.5941  0.1882  0.1859  -0.01
Ba  0.2500  0.5000  0.2477  -0.01
N  0.0941  0.1882  0.8141  -0.01
Li  0.0000  0.0000  0.5000  0.00
V  0.7500  0.0000  0.0000  0.55
Ba  0.7500  0.5000  0.7523  -0.01
N  0.9059  0.8118  0.1859  -0.01